FeBrNO2 after structural relaxation, computed with GGA+U.

abc: 4.0748 4.0748 3.7265
angles: 90.00 90.00 90.00
Last column: magnetic moment on the atom in μB.
Atoms (fractional coordinates):
O 0.5000 0.0000 0.0000  0.03
Br 0.0000 0.0000 0.0000  0.01
N 0.0000 0.0000 0.5000  0.04
O 0.0000 0.5000 0.0000  0.03
Fe 0.5000 0.5000 0.5000  3.79

## Properties
Raw total energy in eV/cell: -20.130
N(E_F) in states/eV/cell: 0.7